No. 1
This record from Alexandria describes a relaxed structure of La6OsPt2Rh. The functional is PBE. Values from VASP.

Computed properties:
* V: 30.802 A^3/atom
* total magnetic moment: 0.00 Bohr magnetons per cell
* E_form: -0.666 eV per atom
* space group: R3
* total DFT energy (no corrections): -6.6885 eV/atom

Structure (Quantum ESPRESSO input):
```
&SYSTEM
  ibrav = 0, nat = 10, ntyp = 4
/
ATOMIC_SPECIES
Pt 195.08 Pt.upf
La 138.91 La.upf
Os 190.23 Os.upf
Rh 102.91 Rh.upf
ATOMIC_POSITIONS crystal
Pt 0.5009 0.5009 0.4969
Pt 0.9995 0.9992 0.0016
La 0.9297 0.5742 0.2500
La 0.7398 0.0811 0.7561
La 0.0814 0.4230 0.7561
La 0.5747 0.2468 0.2490
La 0.2464 0.9297 0.2491
La 0.4229 0.7403 0.7552
Os 0.3324 0.3328 0.0024
Rh 0.8338 0.8337 0.4989
CELL_PARAMETERS angstrom
7.2861 0.0005 0.0022
3.6434 6.3107 0.0015
3.6447 2.1044 6.7004
```

No. 2
This record from Alexandria describes a relaxed structure of La6OsPtRh2. The functional is PBE. Values from VASP.

Computed properties:
* V: 30.159 A^3/atom
* total magnetic moment: 0.00 Bohr magnetons per cell
* E_form: -0.595 eV per atom
* space group: P1
* total DFT energy (no corrections): -6.7485 eV/atom

Structure (Quantum ESPRESSO input):
```
&SYSTEM
  ibrav = 0, nat = 10, ntyp = 4
/
ATOMIC_SPECIES
La 138.91 La.upf
Rh 102.91 Rh.upf
Pt 195.08 Pt.upf
Os 190.23 Os.upf
ATOMIC_POSITIONS crystal
La 0.7476 0.0863 0.7569
La 0.9217 0.5754 0.2452
La 0.4097 0.7461 0.7569
La 0.0877 0.4091 0.7565
La 0.5737 0.2586 0.2453
La 0.2574 0.9224 0.2457
Rh 0.9959 0.9959 0.0128
Rh 0.4980 0.4978 0.5063
Pt 0.8344 0.8350 0.4955
Os 0.3354 0.3350 0.9940
CELL_PARAMETERS angstrom
7.2505 0.0070 0.0000
3.6313 6.2748 -0.0012
3.6267 2.0929 6.6322
```

No. 3
This record from Alexandria describes a relaxed structure of La8OsRuPt2. The functional is PBE. Values from VASP.

Computed properties:
* V: 33.575 A^3/atom
* total magnetic moment: 0.00 Bohr magnetons per cell
* E_form: -0.509 eV per atom
* space group: P2/m
* total DFT energy (no corrections): -6.5094 eV/atom

Structure (Quantum ESPRESSO input):
```
&SYSTEM
  ibrav = 0, nat = 12, ntyp = 4
/
ATOMIC_SPECIES
Pt 195.08 Pt.upf
La 138.91 La.upf
Os 190.23 Os.upf
Ru 101.07 Ru.upf
ATOMIC_POSITIONS crystal
Pt 0.5000 0.5000 0.2512
Pt 0.5000 0.5000 0.7488
La 0.3361 0.2543 0.5000
La 0.6639 0.7457 0.5000
La 0.1609 0.7798 0.2501
La 0.1609 0.7798 0.7499
La 0.8391 0.2202 0.7499
La 0.6639 0.7436 0.0000
La 0.8391 0.2202 0.2501
La 0.3361 0.2564 0.0000
Os 0.0000 0.0000 0.0000
Ru 0.0000 0.0000 0.5000
CELL_PARAMETERS angstrom
-6.6710 1.2528 0.5839
-1.2274 -6.3142 -2.3373
0.1406 -3.0243 8.0961
```

No. 4
This record from Alexandria describes a relaxed structure of La2SiOsPt. The functional is PBE. Values from VASP.

Computed properties:
* V: 27.671 A^3/atom
* total magnetic moment: 0.01 Bohr magnetons per cell
* space group: P4/mmm
* total DFT energy (no corrections): -6.2987 eV/atom
* raw formation energy: 0.21 eV/atom

Structure (Quantum ESPRESSO input):
```
&SYSTEM
  ibrav = 0, nat = 5, ntyp = 4
/
ATOMIC_SPECIES
Os 190.23 Os.upf
La 138.91 La.upf
Pt 195.08 Pt.upf
Si 28.09 Si.upf
ATOMIC_POSITIONS crystal
Os 0.5000 0.5000 0.5000
La 0.5000 0.0000 0.0000
La 0.0000 0.0000 0.5000
Pt 0.0000 0.0000 0.0000
Si 0.0000 0.5000 0.0000
CELL_PARAMETERS angstrom
5.5864 0.0000 0.0000
0.0000 4.4334 0.0000
0.0000 0.0000 5.5864
```

No. 5
This record from Alexandria describes a relaxed structure of La2TeOsPt. The functional is PBE. Values from VASP.

Computed properties:
* V: 30.295 A^3/atom
* total magnetic moment: 0.00 Bohr magnetons per cell
* space group: P4/mmm
* total DFT energy (no corrections): -6.2016 eV/atom
* raw formation energy: -0.15 eV/atom

Structure (Quantum ESPRESSO input):
```
&SYSTEM
  ibrav = 0, nat = 5, ntyp = 4
/
ATOMIC_SPECIES
Os 190.23 Os.upf
La 138.91 La.upf
Pt 195.08 Pt.upf
Te 127.60 Te.upf
ATOMIC_POSITIONS crystal
Os 0.0000 0.0000 0.0000
La 0.5000 0.0000 0.0000
La 0.0000 0.0000 0.5000
Pt 0.5000 0.5000 0.5000
Te 0.0000 0.5000 0.0000
CELL_PARAMETERS angstrom
-2.5745 -1.7620 -4.5853
-2.3527 -3.4289 2.6386
-4.1365 3.5698 0.9507
```

No. 6
This record from Alexandria describes a relaxed structure of LaTiOsPt2. The functional is PBE. Values from VASP.

Computed properties:
* V: 21.522 A^3/atom
* total magnetic moment: 0.00 Bohr magnetons per cell
* E_form: -0.076 eV per atom
* space group: P4/mmm
* excess energy over the best structure of this formula in the dataset: 0.0 meV/atom
* total DFT energy (no corrections): -7.3027 eV/atom

Structure (Quantum ESPRESSO input):
```
&SYSTEM
  ibrav = 0, nat = 5, ntyp = 4
/
ATOMIC_SPECIES
Pt 195.08 Pt.upf
Ti 47.87 Ti.upf
Os 190.23 Os.upf
La 138.91 La.upf
ATOMIC_POSITIONS crystal
Pt 0.0000 0.0000 0.5000
Pt 0.5000 0.0000 0.0000
Ti 0.0000 0.0000 0.0000
Os 0.0000 0.5000 0.0000
La 0.5000 0.5000 0.5000
CELL_PARAMETERS angstrom
4.8359 0.0000 0.0000
0.0000 4.6015 0.0000
0.0000 0.0000 4.8359
```

No. 7
This record from Alexandria describes a relaxed structure of LaTiOsPt2. The functional is PBE. Values from VASP.

Computed properties:
* V: 25.082 A^3/atom
* total magnetic moment: 2.43 Bohr magnetons per cell
* E_form: 0.731 eV per atom
* space group: P4/mmm
* excess energy over the best structure of this formula in the dataset: 806.8 meV/atom
* total DFT energy (no corrections): -6.4959 eV/atom

Structure (Quantum ESPRESSO input):
```
&SYSTEM
  ibrav = 0, nat = 5, ntyp = 4
/
ATOMIC_SPECIES
Pt 195.08 Pt.upf
Os 190.23 Os.upf
Ti 47.87 Ti.upf
La 138.91 La.upf
ATOMIC_POSITIONS crystal
Pt 0.0000 0.0000 0.5000
Pt 0.5000 0.0000 0.0000
Os 0.0000 0.0000 0.0000
Ti 0.5000 0.5000 0.5000
La 0.0000 0.5000 0.0000
CELL_PARAMETERS angstrom
-0.4985 -4.3294 -2.4215
-1.6022 -2.1936 4.2517
-4.7012 1.1891 -1.1581
```

No. 8
This record from Alexandria describes a relaxed structure of LaYOsPt2. The functional is PBE. Values from VASP.

Computed properties:
* V: 26.959 A^3/atom
* total magnetic moment: 0.00 Bohr magnetons per cell
* E_form: 1.698 eV per atom
* space group: P4/mmm
* total DFT energy (no corrections): -5.2427 eV/atom

Structure (Quantum ESPRESSO input):
```
&SYSTEM
  ibrav = 0, nat = 5, ntyp = 4
/
ATOMIC_SPECIES
La 138.91 La.upf
Pt 195.08 Pt.upf
Y 88.91 Y.upf
Os 190.23 Os.upf
ATOMIC_POSITIONS crystal
La 0.0000 0.0000 0.0000
Pt 0.0000 0.0000 0.5000
Pt 0.5000 0.0000 0.0000
Y 0.0000 0.5000 0.0000
Os 0.5000 0.5000 0.5000
CELL_PARAMETERS angstrom
-2.8428 -1.8704 3.5949
2.5916 -4.8302 -0.4638
3.3142 1.4539 3.3772
```

No. 9
This record from Alexandria describes a relaxed structure of LaZrOsPt2. The functional is PBE. Values from VASP.

Computed properties:
* V: 25.174 A^3/atom
* total magnetic moment: 0.00 Bohr magnetons per cell
* E_form: 1.296 eV per atom
* space group: P4/mmm
* total DFT energy (no corrections): -6.0618 eV/atom

Structure (Quantum ESPRESSO input):
```
&SYSTEM
  ibrav = 0, nat = 5, ntyp = 4
/
ATOMIC_SPECIES
La 138.91 La.upf
Zr 91.22 Zr.upf
Os 190.23 Os.upf
Pt 195.08 Pt.upf
ATOMIC_POSITIONS crystal
La 0.0000 0.0000 0.0000
Zr 0.5000 0.5000 0.5000
Os 0.0000 0.5000 0.0000
Pt 0.0000 0.0000 0.5000
Pt 0.5000 0.0000 0.0000
CELL_PARAMETERS angstrom
5.1032 0.0000 0.0000
0.0000 4.8332 0.0000
0.0000 0.0000 5.1032
```

No. 10
This record from Alexandria describes a relaxed structure of La2Pu3Os2. The functional is PBE. Values from VASP.

Computed properties:
* V: 25.513 A^3/atom
* total magnetic moment: 16.24 Bohr magnetons per cell
* E_form: -0.054 eV per atom
* space group: C2/m
* total DFT energy (no corrections): -10.8131 eV/atom

Structure (Quantum ESPRESSO input):
```
&SYSTEM
  ibrav = 0, nat = 7, ntyp = 3
/
ATOMIC_SPECIES
Pu 244.00 Pu.upf
Os 190.23 Os.upf
La 138.91 La.upf
ATOMIC_POSITIONS crystal
Pu 0.5000 0.0000 0.0000
Pu 0.6196 0.2391 0.4382
Pu 0.3804 0.7609 0.5618
Os 0.1527 0.3054 0.2360
Os 0.8473 0.6946 0.7640
La 0.8461 0.6921 0.2007
La 0.1539 0.3079 0.7993
CELL_PARAMETERS angstrom
4.1061 0.0000 0.0000
-2.0531 5.2556 -2.3853
0.0000 -0.1959 8.3646
```